AgSb2P: relaxed, PBE-GGA.

a = 6.5877 Å, b = 6.5877 Å, c = 6.5877 Å
α = 146.85°, β = 143.34°, γ = 50.25°
Closest atoms and distances in Å follow each position.
Atoms (fractional coordinates):
Ag: 0.7500 0.2500 0.5000  4 P 2.80, 4 Sb 2.99
P: 0.2500 0.7500 0.5000  4 Ag 2.80, 4 Sb 2.86
Sb: 0.0690 0.0690 0.0000  2 P 2.86, 2 Ag 2.99
Sb: 0.4310 0.4310 0.0000  2 P 2.86, 2 Ag 2.99

Values from the calculation:
Total DFT energy (no corrections) (eV per atom): -3.8511
Uncorrected formation energy (eV per atom): 0.28
Space group: Immm (71)
Total moment (μB per formula unit): 0.00